a:
The following is a DFT calculation (GGA-PBE) of a geometry-optimized Sm4Dy4Mg structure.

Lattice parameters (Å, degrees): 7.9253 7.9253 7.9253 95.80 95.80 142.91
With the nearest neighbours (Å) after each atom.
Sites, in units of the cell vectors:
Sm1 0.1662 0.1662 0.3325  4 Sm 3.53-3.56, 6 Dy 3.55-3.56, 2 Mg 3.55
Sm2 0.1662 0.8338 0.0000  4 Sm 3.53-3.56, 6 Dy 3.55-3.56, 2 Mg 3.55
Sm3 0.8338 0.1662 0.0000  4 Sm 3.53-3.56, 6 Dy 3.55-3.56, 2 Mg 3.55
Sm4 0.8338 0.8338 0.6675  4 Sm 3.53-3.56, 6 Dy 3.55-3.56, 2 Mg 3.55
Dy1 0.1660 0.5000 0.6660  5 Dy 3.53-3.55, 6 Sm 3.55-3.56, 1 Mg 3.55
Dy2 0.5000 0.1660 0.6660  5 Dy 3.53-3.55, 6 Sm 3.55-3.56, 1 Mg 3.55
Dy3 0.5000 0.8340 0.3340  5 Dy 3.53-3.55, 6 Sm 3.55-3.56, 1 Mg 3.55
Dy4 0.8340 0.5000 0.3340  5 Dy 3.53-3.55, 6 Sm 3.55-3.56, 1 Mg 3.55
Mg1 0.5000 0.5000 0.0000  4 Dy 3.55, 8 Sm 3.55

Calculated values
**M_tot**: 0.00 μB/f.u.
**DOS(E_F)**: 12.47 states/eV/cell
**Space group**: I4/mmm, No. 139



b:
The following is a DFT calculation (GGA-PBE) of a geometry-optimized Sm4Dy4Mg structure.

Lattice parameters (Å, degrees): 9.2038 9.2038 10.6450 92.73 92.73 140.23
With the nearest neighbours (Å) after each atom.
Sites, in units of the cell vectors:
Sm1 0.1336 0.8511 0.6672  1 Mg 3.26, 4 Dy 3.34-3.64, 4 Sm 3.42-3.58
Sm2 0.1430 0.8570 0.0000  6 Dy 3.34-3.50, 2 Sm 3.54, 2 Mg 3.61
Sm3 0.1489 0.8664 0.3328  1 Mg 3.26, 4 Dy 3.34-3.64, 4 Sm 3.42-3.58
Sm4 0.3163 0.6837 0.5000  4 Sm 3.42-3.52, 4 Dy 3.56
Sm5 0.6837 0.3163 0.5000  4 Sm 3.42-3.52, 4 Dy 3.56
Sm6 0.8511 0.1336 0.6672  1 Mg 3.26, 4 Dy 3.34-3.64, 4 Sm 3.42-3.58
Sm7 0.8570 0.1430 0.0000  6 Dy 3.34-3.50, 2 Sm 3.54, 2 Mg 3.61
Sm8 0.8664 0.1489 0.3328  1 Mg 3.26, 4 Dy 3.34-3.64, 4 Sm 3.42-3.58
Dy1 0.2737 0.2737 0.8842  3 Mg 3.23-3.54, 2 Sm 3.34, 4 Dy 3.48-3.51
Dy2 0.2784 0.2784 0.5576  3 Dy 3.19-3.53, 4 Sm 3.34-3.56, 1 Mg 3.48
Dy3 0.3123 0.6766 0.8339  7 Sm 3.46-3.86, 2 Dy 3.51-3.53, 1 Mg 3.57
Dy4 0.3234 0.6877 0.1661  7 Sm 3.46-3.86, 2 Dy 3.51-3.53, 1 Mg 3.57
Dy5 0.6766 0.3123 0.8339  7 Sm 3.46-3.86, 2 Dy 3.51-3.53, 1 Mg 3.57
Dy6 0.6877 0.3234 0.1661  7 Sm 3.46-3.86, 2 Dy 3.51-3.53, 1 Mg 3.57
Dy7 0.7216 0.7216 0.4424  3 Dy 3.19-3.53, 4 Sm 3.34-3.56, 1 Mg 3.48
Dy8 0.7263 0.7263 0.1158  3 Mg 3.23-3.54, 2 Sm 3.34, 4 Dy 3.48-3.51
Mg1 0.2634 0.2634 0.2159  6 Dy 3.23-3.57, 2 Sm 3.26
Mg2 0.7366 0.7366 0.7841  6 Dy 3.23-3.57, 2 Sm 3.26

Calculated values
**M_tot**: 0.00 μB/f.u.
**DOS(E_F)**: 21.35 states/eV/cell
**Space group**: C2/m, No. 12



Which of them is the least stable? Correct choice: b.



a:
The following is a DFT calculation (GGA-PBE) of a geometry-optimized Sm3Dy6Mg structure.

Lattice parameters (Å, degrees): 10.3981 10.3981 10.3981 52.22 52.22 52.22
With the nearest neighbours (Å) after each atom.
Sites, in units of the cell vectors:
Sm1 0.0738 0.6502 0.7743  1 Mg 3.42, 5 Sm 3.42-3.64, 5 Dy 3.46-3.53
Sm2 0.2257 0.9262 0.3498  1 Mg 3.42, 5 Sm 3.42-3.64, 5 Dy 3.46-3.53
Sm3 0.3498 0.2257 0.9262  1 Mg 3.42, 5 Sm 3.42-3.64, 5 Dy 3.46-3.53
Sm4 0.6502 0.7743 0.0738  1 Mg 3.42, 5 Sm 3.42-3.64, 5 Dy 3.46-3.53
Sm5 0.7743 0.0738 0.6502  1 Mg 3.42, 5 Sm 3.42-3.64, 5 Dy 3.46-3.53
Sm6 0.9262 0.3498 0.2257  1 Mg 3.42, 5 Sm 3.42-3.64, 5 Dy 3.46-3.53
Dy1 0.0864 0.2076 0.5232  6 Dy 3.26-3.57, 3 Sm 3.46-3.50
Dy2 0.2018 0.3586 0.6194  6 Dy 3.26-3.57, 1 Mg 3.46, 2 Sm 3.46-3.53
Dy3 0.2076 0.5232 0.0864  6 Dy 3.26-3.57, 3 Sm 3.46-3.50
Dy4 0.3586 0.6194 0.2018  6 Dy 3.26-3.57, 1 Mg 3.46, 2 Sm 3.46-3.53
Dy5 0.3806 0.7982 0.6414  6 Dy 3.26-3.57, 1 Mg 3.46, 2 Sm 3.46-3.53
Dy6 0.4768 0.9136 0.7924  6 Dy 3.26-3.57, 3 Sm 3.46-3.50
Dy7 0.5232 0.0864 0.2076  6 Dy 3.26-3.57, 3 Sm 3.46-3.50
Dy8 0.6194 0.2018 0.3586  6 Dy 3.26-3.57, 1 Mg 3.46, 2 Sm 3.46-3.53
Dy9 0.6414 0.3806 0.7982  6 Dy 3.26-3.57, 1 Mg 3.46, 2 Sm 3.46-3.53
Dy10 0.7924 0.4768 0.9136  6 Dy 3.26-3.57, 3 Sm 3.46-3.50
Dy11 0.7982 0.6414 0.3806  6 Dy 3.26-3.57, 1 Mg 3.46, 2 Sm 3.46-3.53
Dy12 0.9136 0.7924 0.4768  6 Dy 3.26-3.57, 3 Sm 3.46-3.50
Mg1 0.0000 0.0000 0.0000  12 Dy 3.72-3.91
Mg2 0.5000 0.5000 0.5000  6 Sm 3.42, 6 Dy 3.46

Calculated values
**M_tot**: 0.00 μB/f.u.
**DOS(E_F)**: 28.37 states/eV/cell
**Space group**: R-3, No. 148



b:
The following is a DFT calculation (GGA-PBE) of a geometry-optimized Sm3Dy6Mg structure.

Lattice parameters (Å, degrees): 8.7724 8.7724 9.0803 90.00 90.00 115.01
With the nearest neighbours (Å) after each atom.
Sites, in units of the cell vectors:
Sm1 0.0334 0.9666 0.5000  1 Mg 3.43, 2 Sm 3.47, 5 Dy 3.50-3.54
Sm2 0.1791 0.4690 0.9868  5 Dy 3.28-3.54, 2 Sm 3.32-3.47, 1 Mg 3.55
Sm3 0.4690 0.1791 0.4868  5 Dy 3.28-3.54, 2 Sm 3.32-3.47, 1 Mg 3.55
Sm4 0.5310 0.8209 0.9868  5 Dy 3.28-3.54, 2 Sm 3.32-3.47, 1 Mg 3.55
Sm5 0.8209 0.5310 0.4868  5 Dy 3.28-3.54, 2 Sm 3.32-3.47, 1 Mg 3.55
Sm6 0.9666 0.0334 0.0000  1 Mg 3.43, 2 Sm 3.47, 5 Dy 3.50-3.54
Dy1 0.0232 0.3308 0.6594  3 Sm 3.28-3.54, 1 Mg 3.30, 3 Dy 3.32-3.43
Dy2 0.2029 0.7971 0.7744  1 Mg 3.32, 3 Dy 3.36-3.65, 3 Sm 3.40-3.54
Dy3 0.2150 0.3584 0.3256  3 Sm 3.28-3.54, 4 Dy 3.31-3.50, 1 Mg 3.32
Dy4 0.3308 0.0232 0.1594  3 Sm 3.28-3.54, 1 Mg 3.30, 3 Dy 3.32-3.43
Dy5 0.3584 0.2150 0.8256  3 Sm 3.28-3.54, 4 Dy 3.31-3.50, 1 Mg 3.32
Dy6 0.4353 0.5647 0.6409  1 Mg 3.27, 7 Dy 3.31-3.65
Dy7 0.5647 0.4353 0.1409  1 Mg 3.27, 7 Dy 3.31-3.65
Dy8 0.6416 0.7850 0.3256  3 Sm 3.28-3.54, 4 Dy 3.31-3.50, 1 Mg 3.32
Dy9 0.6692 0.9768 0.6594  3 Sm 3.28-3.54, 1 Mg 3.30, 3 Dy 3.32-3.43
Dy10 0.7850 0.6416 0.8256  3 Sm 3.28-3.54, 4 Dy 3.31-3.50, 1 Mg 3.32
Dy11 0.7971 0.2029 0.2744  1 Mg 3.32, 3 Dy 3.36-3.65, 3 Sm 3.40-3.54
Dy12 0.9768 0.6692 0.1594  3 Sm 3.28-3.54, 1 Mg 3.30, 3 Dy 3.32-3.43
Mg1 0.2600 0.7400 0.4210  6 Dy 3.27-3.32, 3 Sm 3.43-3.55
Mg2 0.7400 0.2600 0.9210  6 Dy 3.27-3.32, 3 Sm 3.43-3.55

Calculated values
**M_tot**: 0.00 μB/f.u.
**DOS(E_F)**: 23.45 states/eV/cell
**Space group**: Cmc2_1, No. 36



Which of them is the least stable? Correct choice: a.



a:
The following is a DFT calculation (GGA-PBE) of a geometry-optimized Sm8Dy2Mg structure.

Lattice parameters (Å, degrees): 9.7345 9.7345 9.7345 146.66 133.14 58.72
With the nearest neighbours (Å) after each atom.
Sites, in units of the cell vectors:
Sm1 0.1466 0.3651 0.7815  1 Mg 3.16, 1 Sm 3.38, 2 Dy 3.42
Sm2 0.1757 0.1757 0.0000  4 Dy 3.55-3.88, 8 Sm 3.61-3.63
Sm3 0.2684 0.0000 0.2684  2 Mg 3.48, 7 Sm 3.59-3.63, 2 Dy 3.76
Sm4 0.4164 0.6349 0.7815  1 Mg 3.16, 1 Sm 3.38, 2 Dy 3.42
Sm5 0.5836 0.3651 0.2185  1 Mg 3.16, 1 Sm 3.38, 2 Dy 3.42
Sm6 0.7316 0.0000 0.7316  2 Mg 3.48, 7 Sm 3.59-3.63, 2 Dy 3.76
Sm7 0.8243 0.8243 0.0000  4 Dy 3.55-3.88, 8 Sm 3.61-3.63
Sm8 0.8534 0.6349 0.2185  1 Mg 3.16, 1 Sm 3.38, 2 Dy 3.42
Dy1 0.3050 0.8050 0.5000  10 Sm 3.42-3.76
Dy2 0.6950 0.1950 0.5000  10 Sm 3.42-3.76
Mg1 0.0000 0.5000 0.5000  8 Sm 3.16-3.48

Calculated values
**M_tot**: 0.00 μB/f.u.
**DOS(E_F)**: 19.61 states/eV/cell
**Space group**: Immm, No. 71



b:
The following is a DFT calculation (GGA-PBE) of a geometry-optimized Sm8Dy2Mg structure.

Lattice parameters (Å, degrees): 8.2325 8.2325 5.9845 100.13 100.13 86.93
With the nearest neighbours (Å) after each atom.
Sites, in units of the cell vectors:
Sm1 0.0795 0.0795 0.2900  4 Sm 3.24-3.59, 1 Dy 3.35
Sm2 0.1580 0.6372 0.2117  3 Sm 3.31-3.63, 1 Dy 3.31, 1 Mg 3.35
Sm3 0.2292 0.2292 0.9058  1 Mg 3.15, 1 Dy 3.19, 3 Sm 3.24-3.31
Sm4 0.3628 0.8420 0.7883  3 Sm 3.31-3.63, 1 Dy 3.31, 1 Mg 3.35
Sm5 0.6372 0.1580 0.2117  3 Sm 3.31-3.63, 1 Dy 3.31, 1 Mg 3.35
Sm6 0.7708 0.7708 0.0942  1 Mg 3.15, 1 Dy 3.19, 3 Sm 3.24-3.31
Sm7 0.8420 0.3628 0.7883  3 Sm 3.31-3.63, 1 Dy 3.31, 1 Mg 3.35
Sm8 0.9205 0.9205 0.7100  4 Sm 3.24-3.59, 1 Dy 3.35
Dy1 0.3655 0.3655 0.5078  1 Mg 2.99, 4 Sm 3.19-3.35, 1 Dy 3.24
Dy2 0.6345 0.6345 0.4922  1 Mg 2.99, 4 Sm 3.19-3.35, 1 Dy 3.24
Mg1 0.5000 0.5000 0.0000  2 Dy 2.99, 6 Sm 3.15-3.35

Calculated values
**M_tot**: 0.00 μB/f.u.
**DOS(E_F)**: 13.60 states/eV/cell
**Space group**: C2/m, No. 12



Which of them is the least stable? Correct choice: b.



a:
The following is a DFT calculation (GGA-PBE) of a geometry-optimized SmDyThMg structure.

Lattice parameters (Å, degrees): 5.5573 5.5573 5.5573 60.00 60.00 60.00
With the nearest neighbours (Å) after each atom.
Sites, in units of the cell vectors:
Sm1 0.0000 0.0000 0.0000  4 Th 3.40, 4 Mg 3.40
Dy1 0.5000 0.5000 0.5000  4 Th 3.40, 4 Mg 3.40
Th1 0.7500 0.7500 0.7500  4 Sm 3.40, 4 Dy 3.40
Mg1 0.2500 0.2500 0.2500  4 Dy 3.40, 4 Sm 3.40

Calculated values
**M_tot**: 0.02 μB/f.u.
**DOS(E_F)**: 7.39 states/eV/cell
**Space group**: F-43m, No. 216



b:
The following is a DFT calculation (GGA-PBE) of a geometry-optimized SmDyThMg structure.

Lattice parameters (Å, degrees): 3.6051 3.6051 9.2659 90.00 90.00 90.00
With the nearest neighbours (Å) after each atom.
Sites, in units of the cell vectors:
Sm1 0.0000 0.0000 0.0000  4 Mg 3.42, 4 Th 3.52, 4 Sm 3.61
Dy1 0.0000 0.0000 0.4808  4 Mg 3.35, 4 Th 3.49, 4 Dy 3.61
Th1 0.5000 0.5000 0.7376  4 Dy 3.49, 4 Sm 3.52, 4 Th 3.61
Mg1 0.5000 0.5000 0.2459  4 Dy 3.35, 4 Sm 3.42, 4 Mg 3.61

Calculated values
**M_tot**: 0.00 μB/f.u.
**DOS(E_F)**: 3.93 states/eV/cell
**Space group**: P4mm, No. 99



Which of them is the least stable? Correct choice: a.



a:
The following is a DFT calculation (GGA-PBE) of a geometry-optimized DyMg2Sn3 structure.

Lattice parameters (Å, degrees): 7.7392 7.7392 6.0360 90.00 90.00 78.36
With the nearest neighbours (Å) after each atom.
Sites, in units of the cell vectors:
Dy1 0.2042 0.7958 0.7500  4 Sn 3.15
Dy2 0.7958 0.2042 0.2500  4 Sn 3.15
Mg1 0.3680 0.3680 0.0000  4 Sn 2.96-3.00, 3 Mg 3.02-3.17
Mg2 0.3680 0.3680 0.5000  4 Sn 2.96-3.00, 3 Mg 3.02-3.17
Mg3 0.6320 0.6320 0.0000  4 Sn 2.96-3.00, 3 Mg 3.02-3.17
Mg4 0.6320 0.6320 0.5000  4 Sn 2.96-3.00, 3 Mg 3.02-3.17
Sn1 0.1012 0.2109 0.7500  2 Mg 3.00, 3 Sn 3.01-3.20, 1 Dy 3.15
Sn2 0.2109 0.1012 0.2500  2 Mg 3.00, 3 Sn 3.01-3.20, 1 Dy 3.15
Sn3 0.2955 0.7045 0.2500  4 Mg 2.96, 2 Sn 3.01, 2 Dy 3.15
Sn4 0.7045 0.2955 0.7500  4 Mg 2.96, 2 Sn 3.01, 2 Dy 3.15
Sn5 0.7891 0.8988 0.7500  2 Mg 3.00, 3 Sn 3.01-3.20, 1 Dy 3.15
Sn6 0.8988 0.7891 0.2500  2 Mg 3.00, 3 Sn 3.01-3.20, 1 Dy 3.15

Calculated values
**M_tot**: 0.00 μB/f.u.
**DOS(E_F)**: 6.60 states/eV/cell
**Space group**: Cmcm, No. 63



b:
The following is a DFT calculation (GGA-PBE) of a geometry-optimized DyMg2Sn3 structure.

Lattice parameters (Å, degrees): 7.5811 7.5811 4.3518 90.00 90.00 144.01
With the nearest neighbours (Å) after each atom.
Sites, in units of the cell vectors:
Dy1 0.0000 0.0000 0.0000  8 Sn 3.20-3.27, 4 Mg 3.39
Mg1 0.3301 0.6699 0.0000  8 Sn 3.18-3.28, 2 Mg 3.29, 2 Dy 3.39
Mg2 0.6699 0.3301 0.0000  8 Sn 3.18-3.28, 2 Mg 3.29, 2 Dy 3.39
Sn1 0.1693 0.8307 0.5000  6 Mg 3.18-3.20, 2 Dy 3.27, 4 Sn 3.30-3.38
Sn2 0.5000 0.5000 0.5000  4 Dy 3.20, 4 Mg 3.28, 4 Sn 3.38
Sn3 0.8307 0.1693 0.5000  6 Mg 3.18-3.20, 2 Dy 3.27, 4 Sn 3.30-3.38

Calculated values
**M_tot**: 0.00 μB/f.u.
**DOS(E_F)**: 1.87 states/eV/cell
**Space group**: Cmmm, No. 65



Which of them is the least stable? Correct choice: a.



a:
The following is a DFT calculation (GGA-PBE) of a geometry-optimized DyMg2Sn2 structure.

Lattice parameters (Å, degrees): 12.6537 12.6537 4.4541 90.00 90.00 159.90
With the nearest neighbours (Å) after each atom.
Sites, in units of the cell vectors:
Dy1 0.1519 0.8481 0.7500  8 Sn 3.19-3.30, 4 Mg 3.44-3.47
Dy2 0.8481 0.1519 0.2500  8 Sn 3.19-3.30, 4 Mg 3.44-3.47
Mg1 0.0453 0.9547 0.2500  2 Sn 3.02, 8 Mg 3.14-3.17
Mg2 0.4538 0.5462 0.2500  2 Sn 3.01, 8 Mg 3.14-3.20
Mg3 0.5462 0.4538 0.7500  2 Sn 3.01, 8 Mg 3.14-3.20
Mg4 0.9547 0.0453 0.7500  2 Sn 3.02, 8 Mg 3.14-3.17
Sn1 0.2494 0.7506 0.2500  4 Sn 3.14, 4 Dy 3.29-3.30
Sn2 0.3723 0.6277 0.7500  4 Mg 3.01-3.02, 4 Dy 3.19
Sn3 0.6277 0.3723 0.2500  4 Mg 3.01-3.02, 4 Dy 3.19
Sn4 0.7506 0.2494 0.7500  4 Sn 3.14, 4 Dy 3.29-3.30

Calculated values
**M_tot**: 0.00 μB/f.u.
**DOS(E_F)**: 3.91 states/eV/cell
**Space group**: Cmcm, No. 63



b:
The following is a DFT calculation (GGA-PBE) of a geometry-optimized DyMg2Sn2 structure.

Lattice parameters (Å, degrees): 4.9774 4.9774 12.7358 90.00 90.00 120.00
With the nearest neighbours (Å) after each atom.
Sites, in units of the cell vectors:
Dy1 0.0000 0.0000 0.2500  5 Mg 2.87-3.18
Dy2 0.0000 0.0000 0.7500  5 Mg 2.87-3.18
Mg1 0.0000 0.0000 0.0000  2 Dy 3.18, 6 Sn 3.29
Mg2 0.0000 0.0000 0.5000  2 Dy 3.18, 6 Sn 3.29
Mg3 0.3333 0.6667 0.2500  3 Dy 2.87
Mg4 0.6667 0.3333 0.7500  3 Dy 2.87
Sn1 0.3333 0.6667 0.6257  1 Sn 3.17, 3 Dy 3.28, 6 Mg 3.28-3.29
Sn2 0.3333 0.6667 0.8743  1 Sn 3.17, 3 Dy 3.28, 6 Mg 3.28-3.29
Sn3 0.6667 0.3333 0.1257  1 Sn 3.17, 3 Dy 3.28, 6 Mg 3.28-3.29
Sn4 0.6667 0.3333 0.3743  1 Sn 3.17, 3 Dy 3.28, 6 Mg 3.28-3.29

Calculated values
**M_tot**: 0.00 μB/f.u.
**DOS(E_F)**: 5.81 states/eV/cell
**Space group**: P6_3/mmc, No. 194



Which of them is the least stable? Correct choice: b.